(1)
# SbPdRuAu2 PBE-GGA relaxed
# Raw total energy ... -3.90 eV/atom
# Uncorrected formation energy ... 1.13 eV/atom
data_SbPdRuAu2
_space_group_name_H-M_alt 'P 4/m m m'
_space_group_IT_number 123
_space_group_name_Hall '-P 4 2'
_cell_length_a 5.064
_cell_length_b 5.064
_cell_length_c 4.942
_cell_angle_alpha 90.00
_cell_angle_beta 90.00
_cell_angle_gamma 90.00
loop_
_atom_site_label
_atom_site_fract_x
_atom_site_fract_y
_atom_site_fract_z
Sb1 0.000 0.000 0.000
Pd1 0.500 0.500 0.500
Ru1 0.000 0.000 0.500
Au1 0.000 0.500 0.000


(2)
# SnPdRuAu PBE-GGA relaxed
# Raw total energy ... -5.52 eV/atom
data_SnPdRuAu
_space_group_name_H-M_alt 'F -4 3 m'
_space_group_IT_number 216
_space_group_name_Hall 'F -4 2 3'
_cell_length_a 6.461
_cell_length_b 6.461
_cell_length_c 6.461
_cell_angle_alpha 90.00
_cell_angle_beta 90.00
_cell_angle_gamma 90.00
loop_
_atom_site_label
_atom_site_fract_x
_atom_site_fract_y
_atom_site_fract_z
Sn1 0.000 0.000 0.000
Pd1 0.250 0.250 0.250
Ru1 0.250 0.250 0.750
Au1 0.000 0.000 0.500


(3)
# SrPd2RuAu PBE-GGA relaxed
# Raw total energy ... -4.21 eV/atom
data_SrPd2RuAu
_space_group_name_H-M_alt 'P 4/m m m'
_space_group_IT_number 123
_space_group_name_Hall '-P 4 2'
_cell_length_a 4.776
_cell_length_b 4.776
_cell_length_c 5.754
_cell_angle_alpha 90.00
_cell_angle_beta 90.00
_cell_angle_gamma 90.00
loop_
_atom_site_label
_atom_site_fract_x
_atom_site_fract_y
_atom_site_fract_z
Sr1 0.000 0.000 0.000
Pd1 0.000 0.500 0.500
Ru1 0.000 0.000 0.500
Au1 0.500 0.500 0.000


(4)
# Tb4Pd2RuAu PBE-GGA relaxed
# Raw total energy ... -5.93 eV/atom
data_Tb4Pd2RuAu
_space_group_name_H-M_alt 'R -3 m'
_space_group_IT_number 166
_space_group_name_Hall '-R 3 2"'
_cell_length_a 4.9787
_cell_length_b 4.9787
_cell_length_c 24.4246
_cell_angle_alpha 90.00
_cell_angle_beta 90.00
_cell_angle_gamma 120.00
loop_
_atom_site_label
_atom_site_fract_x
_atom_site_fract_y
_atom_site_fract_z
Tb1 0.0000 0.0000 0.1201
Tb2 0.0000 0.0000 0.3714
Pd1 0.0000 0.0000 0.2511
Ru1 0.0000 0.0000 0.0000
Au1 0.0000 0.0000 0.5000